A relaxed structure of DySb2Pd9, computed with PBE.

Structure (POSCAR):
```
DySb2Pd9
1.0
4.083 0.000 0.000
0.000 4.083 0.000
0.000 0.000 12.187
Dy Sb Pd
1 2 9
Direct
0.000 0.000 0.000
0.000 0.000 0.333
0.000 0.000 0.667
0.000 0.500 0.172
0.000 0.500 0.500
0.000 0.500 0.828
0.500 0.000 0.172
0.500 0.000 0.500
0.500 0.000 0.828
0.500 0.500 0.000
0.500 0.500 0.339
0.500 0.500 0.661
```

Summary:
M_tot	0.00	μB/f.u.
space group	P4/mmm (123)
uncorrected formation energy	-635	kJ/mol of formula units
crystal system	tetragonal



A relaxed structure of EuHCl, computed with PBE.

Structure (POSCAR):
```
EuHCl
1.0
9.816 0.000 0.000
0.000 4.109 0.000
-1.940 0.000 6.984
Eu H Cl
4 4 4
Direct
0.199 0.000 0.267
0.301 0.500 0.733
0.699 0.500 0.267
0.801 0.000 0.733
0.169 0.500 0.409
0.331 0.000 0.591
0.669 0.000 0.409
0.831 0.500 0.591
0.110 0.000 0.835
0.390 0.500 0.165
0.610 0.500 0.835
0.890 0.000 0.165
```

Summary:
M_tot	7.00	μB/f.u.
space group	C2/m (12)
uncorrected energy	-6.5754	eV/atom
crystal system	monoclinic